--- w ---
{
  "formula": "Ni15Pb",
  "functional": "GGA-PBE",
  "state": "relaxed",
  "cell": [[6.679, 0.000, 0.000], [0.000, 2.619, 0.000], [-0.001, 0.000, 33.523]],
  "species": ["Ni", "Ni", "Ni", "Ni", "Ni", "Ni", "Ni", "Ni", "Ni", "Ni", "Ni", "Ni", "Ni", "Ni", "Ni", "Ni", "Ni", "Ni", "Ni", "Ni", "Ni", "Ni", "Ni", "Ni", "Ni", "Ni", "Ni", "Ni", "Ni", "Ni", "Pb", "Pb"],
  "fractional_positions": [[0.124, 0.250, 0.334], [0.125, 0.250, 0.259], [0.125, 0.250, 0.408], [0.125, 0.250, 0.482], [0.125, 0.250, 0.555], [0.125, 0.250, 0.629], [0.125, 0.250, 0.704], [0.374, 0.750, 0.666], [0.375, 0.750, 0.224], [0.375, 0.750, 0.297], [0.375, 0.750, 0.371], [0.375, 0.750, 0.445], [0.375, 0.750, 0.519], [0.375, 0.750, 0.592], [0.375, 0.750, 0.741], [0.625, 0.250, 0.259], [0.625, 0.250, 0.408], [0.625, 0.250, 0.481], [0.625, 0.250, 0.555], [0.625, 0.250, 0.629], [0.625, 0.250, 0.703], [0.625, 0.250, 0.776], [0.626, 0.250, 0.334], [0.875, 0.750, 0.296], [0.875, 0.750, 0.371], [0.875, 0.750, 0.445], [0.875, 0.750, 0.518], [0.875, 0.750, 0.592], [0.875, 0.750, 0.741], [0.876, 0.750, 0.666], [0.125, 0.250, 0.796], [0.875, 0.750, 0.204]]
}



--- x ---
{
  "formula": "Ni15Pb",
  "functional": "GGA-PBE",
  "state": "relaxed",
  "cell": [[3.531, 0.000, 0.000], [0.000, 3.531, 0.000], [0.000, 0.000, 40.893]],
  "species": ["Ni", "Ni", "Ni", "Ni", "Ni", "Ni", "Ni", "Ni", "Ni", "Ni", "Ni", "Ni", "Ni", "Ni", "Ni", "Ni", "Ni", "Ni", "Ni", "Ni", "Ni", "Ni", "Ni", "Ni", "Ni", "Ni", "Ni", "Ni", "Ni", "Ni", "Pb", "Pb"],
  "fractional_positions": [[0.250, 0.000, 0.021], [0.250, 0.000, 0.105], [0.250, 0.000, 0.190], [0.250, 0.000, 0.275], [0.250, 0.000, 0.684], [0.250, 0.000, 0.767], [0.250, 0.000, 0.853], [0.250, 0.000, 0.937], [0.250, 0.500, 0.063], [0.250, 0.500, 0.147], [0.250, 0.500, 0.233], [0.250, 0.500, 0.725], [0.250, 0.500, 0.810], [0.250, 0.500, 0.895], [0.250, 0.500, 0.979], [0.750, 0.000, 0.063], [0.750, 0.000, 0.147], [0.750, 0.000, 0.233], [0.750, 0.000, 0.316], [0.750, 0.000, 0.725], [0.750, 0.000, 0.810], [0.750, 0.000, 0.895], [0.750, 0.000, 0.979], [0.750, 0.500, 0.021], [0.750, 0.500, 0.105], [0.750, 0.500, 0.190], [0.750, 0.500, 0.275], [0.750, 0.500, 0.767], [0.750, 0.500, 0.853], [0.750, 0.500, 0.937], [0.250, 0.500, 0.338], [0.750, 0.500, 0.662]]
}



Quick one: least stable of them? w



--- w ---
{
  "formula": "ScNiPdPb",
  "functional": "GGA-PBE",
  "state": "relaxed",
  "cell": [[0.000, 3.273, 3.273], [3.273, 0.000, 3.273], [3.273, 3.273, 0.000]],
  "species": ["Sc", "Ni", "Pd", "Pb"],
  "fractional_positions": [[0.000, 0.000, 0.000], [0.750, 0.750, 0.750], [0.250, 0.250, 0.250], [0.500, 0.500, 0.500]]
}



--- x ---
{
  "formula": "ScNiPdPb",
  "functional": "GGA-PBE",
  "state": "relaxed",
  "cell": [[0.000, 3.285, 3.285], [3.285, 0.000, 3.285], [3.285, 3.285, 0.000]],
  "species": ["Sc", "Ni", "Pd", "Pb"],
  "fractional_positions": [[0.000, 0.000, 0.000], [0.500, 0.500, 0.500], [0.750, 0.750, 0.750], [0.250, 0.250, 0.250]]
}



Quick one: least stable of them? x



--- w ---
{
  "formula": "ScTcNiPb",
  "functional": "GGA-PBE",
  "state": "relaxed",
  "cell": [[0.000, 3.279, 3.279], [3.279, 0.000, 3.279], [3.279, 3.279, 0.000]],
  "species": ["Sc", "Tc", "Ni", "Pb"],
  "fractional_positions": [[0.000, 0.000, 0.000], [0.750, 0.750, 0.750], [0.500, 0.500, 0.500], [0.250, 0.250, 0.250]]
}



--- x ---
{
  "formula": "ScTcNiPb",
  "functional": "GGA-PBE",
  "state": "relaxed",
  "cell": [[0.000, 3.242, 3.242], [3.242, 0.000, 3.242], [3.242, 3.242, 0.000]],
  "species": ["Sc", "Tc", "Ni", "Pb"],
  "fractional_positions": [[0.000, 0.000, 0.000], [0.250, 0.250, 0.250], [0.750, 0.750, 0.750], [0.500, 0.500, 0.500]]
}



Quick one: least stable of them? w



--- w ---
{
  "formula": "ScZnNiPb",
  "functional": "GGA-PBE",
  "state": "relaxed",
  "cell": [[0.000, 3.302, 3.302], [3.302, 0.000, 3.302], [3.302, 3.302, 0.000]],
  "species": ["Sc", "Zn", "Ni", "Pb"],
  "fractional_positions": [[0.000, 0.000, 0.000], [0.750, 0.750, 0.750], [0.250, 0.250, 0.250], [0.500, 0.500, 0.500]]
}



--- x ---
{
  "formula": "ScZnNiPb",
  "functional": "GGA-PBE",
  "state": "relaxed",
  "cell": [[0.000, 3.293, 3.293], [3.293, 0.000, 3.293], [3.293, 3.293, 0.000]],
  "species": ["Sc", "Zn", "Ni", "Pb"],
  "fractional_positions": [[0.000, 0.000, 0.000], [0.250, 0.250, 0.250], [0.500, 0.500, 0.500], [0.750, 0.750, 0.750]]
}



Quick one: least stable of them? x



--- w ---
{
  "formula": "TaTcNiPb",
  "functional": "GGA-PBE",
  "state": "relaxed",
  "cell": [[0.000, 3.216, 3.216], [3.216, 0.000, 3.216], [3.216, 3.216, 0.000]],
  "species": ["Ta", "Tc", "Ni", "Pb"],
  "fractional_positions": [[0.000, 0.000, 0.000], [0.250, 0.250, 0.250], [0.750, 0.750, 0.750], [0.500, 0.500, 0.500]]
}



--- x ---
{
  "formula": "TaTcNiPb",
  "functional": "GGA-PBE",
  "state": "relaxed",
  "cell": [[0.000, 3.234, 3.234], [3.234, 0.000, 3.234], [3.234, 3.234, 0.000]],
  "species": ["Ta", "Tc", "Ni", "Pb"],
  "fractional_positions": [[0.000, 0.000, 0.000], [0.750, 0.750, 0.750], [0.500, 0.500, 0.500], [0.250, 0.250, 0.250]]
}



Quick one: least stable of them? x



--- w ---
{
  "formula": "PmNiPd",
  "functional": "GGA-PBE",
  "state": "relaxed",
  "cell": [[0.000, 3.240, 3.240], [3.240, 0.000, 3.240], [3.240, 3.240, 0.000]],
  "species": ["Pm", "Ni", "Pd"],
  "fractional_positions": [[0.000, 0.000, 0.000], [0.750, 0.750, 0.750], [0.250, 0.250, 0.250]]
}



--- x ---
{
  "formula": "PmNiPd",
  "functional": "GGA-PBE",
  "state": "relaxed",
  "cell": [[0.000, 3.146, 3.146], [3.146, 0.000, 3.146], [3.146, 3.146, 0.000]],
  "species": ["Pm", "Ni", "Pd"],
  "fractional_positions": [[0.000, 0.000, 0.000], [0.750, 0.750, 0.750], [0.500, 0.500, 0.500]]
}



Quick one: least stable of them? w



--- w ---
{
  "formula": "NiPd2Pt2",
  "functional": "GGA-PBE",
  "state": "relaxed",
  "cell": [[-1.811, 1.811, 6.568], [1.811, -1.811, 6.568], [1.811, 1.811, -6.568]],
  "species": ["Ni", "Pd", "Pd", "Pt", "Pt"],
  "fractional_positions": [[0.000, 0.000, 0.000], [0.404, 0.404, 0.000], [0.596, 0.596, 0.000], [0.250, 0.750, 0.500], [0.750, 0.250, 0.500]]
}



--- x ---
{
  "formula": "NiPd2Pt2",
  "functional": "GGA-PBE",
  "state": "relaxed",
  "cell": [[-1.809, 1.809, 6.278], [1.809, -1.809, 6.278], [1.809, 1.809, -6.278]],
  "species": ["Ni", "Pd", "Pd", "Pt", "Pt"],
  "fractional_positions": [[0.000, 0.000, 0.000], [0.250, 0.750, 0.500], [0.750, 0.250, 0.500], [0.403, 0.403, 0.000], [0.597, 0.597, 0.000]]
}



Quick one: least stable of them? w



--- w ---
{
  "formula": "ScNiSbPd",
  "functional": "GGA-PBE",
  "state": "relaxed",
  "cell": [[0.000, 3.225, 3.225], [3.225, 0.000, 3.225], [3.225, 3.225, 0.000]],
  "species": ["Sc", "Ni", "Sb", "Pd"],
  "fractional_positions": [[0.000, 0.000, 0.000], [0.750, 0.750, 0.750], [0.500, 0.500, 0.500], [0.250, 0.250, 0.250]]
}



--- x ---
{
  "formula": "ScNiSbPd",
  "functional": "GGA-PBE",
  "state": "relaxed",
  "cell": [[0.000, 3.251, 3.251], [3.251, 0.000, 3.251], [3.251, 3.251, 0.000]],
  "species": ["Sc", "Ni", "Sb", "Pd"],
  "fractional_positions": [[0.000, 0.000, 0.000], [0.500, 0.500, 0.500], [0.250, 0.250, 0.250], [0.750, 0.750, 0.750]]
}



Quick one: least stable of them? x